Entry from the Alexandria database: Sn6RuRh after structural relaxation (GGA-PBE).

The calculation puts the formation energy at -0.15 eV/atom. The calculation puts the raw total energy at -5.228 eV/atom. The calculation puts the volume at 23.99 Å³/atom.

CIF file:
```
data_Sn6RuRh
_cell_length_a 4.543
_cell_length_b 7.025
_cell_length_c 7.026
_cell_angle_alpha 99.45
_cell_angle_beta 108.74
_cell_angle_gamma 108.79
_space_group_name_H-M_alt 'P -1'
_space_group_IT_number 2
loop_
_space_group_symop_operation_xyz
'x,y,z'
'-x,-y,-z'
loop_
_atom_site_label
_atom_site_type_symbol
_atom_site_fract_x
_atom_site_fract_y
_atom_site_fract_z
Sn1 Sn 0.008 0.256 0.256
Sn2 Sn 0.334 0.240 0.925
Sn3 Sn 0.334 0.749 0.418
Ru1 Ru 0.000 0.000 0.500
Rh1 Rh 0.000 0.500 0.000
```